Record 1
TaNbAl2: relaxed, PBE.

Structure (POSCAR):
```
TaNbAl2
1.0
7.1926 0.0000 0.0000
0.0000 7.1926 0.0000
3.5963 3.5963 2.7862
Al Nb Ta
4 2 2
Direct
0.1264 0.6250 0.2500 Al
0.6236 0.1250 0.2500 Al
0.3750 0.3764 0.7500 Al
0.8750 0.8736 0.7500 Al
0.2500 0.7500 0.5000 Nb
0.5000 0.5000 0.0000 Nb
0.7500 0.2500 0.5000 Ta
0.0000 0.0000 0.0000 Ta
```

The formation energy is 0.220 eV/atom. The energy above the lowest structure with this stoichiometry comes out at 0.4812 eV/atom. The total energy comes out at -7.13 eV/atom. As for the symmetry: I-42d.

---

Record 2
CoTeC2: relaxed, PBE.

Structure (POSCAR):
```
CoTeC2
1.0
4.8130 0.0000 0.0000
0.0000 4.8130 0.0000
2.4065 2.4065 4.7057
Co C Te
2 4 2
Direct
0.5000 0.5000 0.0000 Co
0.2500 0.7500 0.5000 Co
0.2012 0.6250 0.2500 C
0.8750 0.7988 0.7500 C
0.5488 0.1250 0.2500 C
0.3750 0.4512 0.7500 C
0.0000 0.0000 0.0000 Te
0.7500 0.2500 0.5000 Te
```

The total energy comes out at -5.92 eV/atom. As for the symmetry: I-42d.

---

Record 3
NdErFe: relaxed, PBE.

Structure (POSCAR):
```
NdErFe
1.0
6.9321 0.0000 0.0000
-3.4661 6.0676 0.0000
0.0000 0.0000 7.3375
Fe Nd Er
4 4 4
Direct
0.4102 0.8204 0.4587 Fe
0.5898 0.1796 0.5413 Fe
0.0898 0.1796 0.9587 Fe
0.9102 0.8204 0.0413 Fe
0.3022 0.6045 0.1126 Nd
0.8022 0.6045 0.3874 Nd
0.1978 0.3955 0.6126 Nd
0.6978 0.3955 0.8874 Nd
0.2091 0.9181 0.7500 Er
0.2909 0.0819 0.2500 Er
0.7909 0.0819 0.2500 Er
0.7091 0.9181 0.7500 Er
```

The formation energy is 0.060 eV/atom. The energy above the lowest structure with this stoichiometry comes out at 0.0000 eV/atom. The total energy comes out at -5.87 eV/atom. As for the symmetry: Cmce.

---

Computed calculated volume, in the same sequence as the records: 144.1 109.0 308.6 Å³ per cell.